Here is a geometry-optimized Ac3ZnRh structure from the Alexandria database. Energies are from PBE.

Its total magnetization is 0.0 μB/cell. As for the energy above the most stable polymorph in this dataset: 0 meV per atom. The energy of formation is -0.390 eV/atom. As for the space group: No. 62. For the total energy, the calculation gives -4.58 eV/atom.

a = 9.8081 Å, b = 4.3274 Å, c = 15.9817 Å
α = 90.00°, β = 90.00°, γ = 90.00°
Fractional positions:
Ac 0.0056 0.2500 0.1075
Ac 0.1568 0.7500 0.4568
Ac 0.1745 0.2500 0.7016
Ac 0.3255 0.7500 0.2016
Ac 0.3432 0.2500 0.9568
Ac 0.4944 0.7500 0.6075
Ac 0.5056 0.2500 0.3925
Ac 0.6568 0.7500 0.0432
Ac 0.6745 0.2500 0.7984
Ac 0.8255 0.7500 0.2984
Ac 0.8432 0.2500 0.5432
Ac 0.9944 0.7500 0.8925
Zn 0.1130 0.2500 0.3018
Zn 0.3870 0.7500 0.8018
Zn 0.6130 0.2500 0.1982
Zn 0.8870 0.7500 0.6982
Rh 0.1899 0.7500 0.0393
Rh 0.3101 0.2500 0.5393
Rh 0.6899 0.7500 0.4607
Rh 0.8101 0.2500 0.9607



Here is a geometry-optimized Ac4Zn2Rh structure from the Alexandria database. Energies are from PBE.

Its total magnetization is 0.0 μB/cell. The energy of formation is -0.323 eV/atom. As for the space group: No. 12. For the total energy, the calculation gives -4.08 eV/atom.

a = 16.1940 Å, b = 4.3695 Å, c = 6.8343 Å
α = 90.00°, β = 103.24°, γ = 90.00°
Fractional positions:
Ac 0.0779 0.0000 0.2822
Ac 0.1553 0.5000 0.8350
Ac 0.3447 0.0000 0.1650
Ac 0.4221 0.5000 0.7178
Ac 0.5779 0.5000 0.2822
Ac 0.6553 0.0000 0.8350
Ac 0.8447 0.5000 0.1650
Ac 0.9221 0.0000 0.7178
Zn 0.2393 0.5000 0.3796
Zn 0.2607 0.0000 0.6204
Zn 0.7393 0.0000 0.3796
Zn 0.7607 0.5000 0.6204
Rh 0.0000 0.5000 0.0000
Rh 0.5000 0.0000 0.0000



Here is a geometry-optimized Ac3Zn9Rh2 structure from the Alexandria database. Energies are from PBE.

Its total magnetization is 0.0 μB/cell. The energy of formation is -0.359 eV/atom. As for the space group: No. 71. For the total energy, the calculation gives -3.11 eV/atom.

a = 8.4518 Å, b = 8.4518 Å, c = 8.4518 Å
α = 149.12°, β = 108.65°, γ = 79.74°
Fractional positions:
Ac 0.0000 0.0000 0.0000
Ac 0.3018 0.3018 0.0000
Ac 0.6982 0.6982 0.0000
Zn 0.0032 0.6547 0.3485
Zn 0.1668 0.8827 0.2841
Zn 0.3061 0.6547 0.6515
Zn 0.4014 0.1173 0.2841
Zn 0.5000 0.0000 0.5000
Zn 0.5986 0.8827 0.7159
Zn 0.6939 0.3453 0.3485
Zn 0.8332 0.1173 0.7159
Zn 0.9968 0.3453 0.6515
Rh 0.3281 0.5000 0.8281
Rh 0.6719 0.5000 0.1719



Here is a geometry-optimized Ac2Zn2Rh3 structure from the Alexandria database. Energies are from PBE.

Its total magnetization is 0.0 μB/cell. As for the energy above the most stable polymorph in this dataset: 86 meV per atom. The energy of formation is -0.465 eV/atom. As for the space group: No. 12. For the total energy, the calculation gives -5.15 eV/atom.

a = 11.3555 Å, b = 3.9595 Å, c = 7.0747 Å
α = 90.00°, β = 111.93°, γ = 90.00°
Fractional positions:
Ac 0.1242 0.0000 0.2625
Ac 0.3758 0.5000 0.7375
Ac 0.6242 0.5000 0.2625
Ac 0.8758 0.0000 0.7375
Zn 0.1454 0.0000 0.7364
Zn 0.3546 0.5000 0.2636
Zn 0.6454 0.5000 0.7364
Zn 0.8546 0.0000 0.2636
Rh 0.0000 0.5000 0.5000
Rh 0.1329 0.5000 0.9605
Rh 0.3671 0.0000 0.0395
Rh 0.5000 0.0000 0.5000
Rh 0.6329 0.0000 0.9605
Rh 0.8671 0.5000 0.0395



Here is a geometry-optimized Ac4Zn6Rh7 structure from the Alexandria database. Energies are from PBE.

Its total magnetization is 0.0 μB/cell. The energy of formation is -0.485 eV/atom. As for the space group: No. 229. For the total energy, the calculation gives -4.93 eV/atom.

a = 7.5888 Å, b = 7.5888 Å, c = 7.5888 Å
α = 109.47°, β = 109.47°, γ = 109.47°
Fractional positions:
Ac 0.0000 0.0000 0.5000
Ac 0.0000 0.5000 0.0000
Ac 0.5000 0.0000 0.0000
Ac 0.5000 0.5000 0.5000
Zn 0.0000 0.3269 0.3269
Zn 0.0000 0.6731 0.6731
Zn 0.3269 0.0000 0.3269
Zn 0.3269 0.3269 0.0000
Zn 0.6731 0.0000 0.6731
Zn 0.6731 0.6731 0.0000
Rh 0.0000 0.0000 0.0000
Rh 0.2500 0.5000 0.7500
Rh 0.2500 0.7500 0.5000
Rh 0.5000 0.2500 0.7500
Rh 0.5000 0.7500 0.2500
Rh 0.7500 0.2500 0.5000
Rh 0.7500 0.5000 0.2500



Here is a geometry-optimized Ac4Zn5Rh6 structure from the Alexandria database. Energies are from PBE.

Its total magnetization is 0.0 μB/cell. The energy of formation is -0.449 eV/atom. As for the space group: No. 36. For the total energy, the calculation gives -4.91 eV/atom.

a = 10.1356 Å, b = 10.1356 Å, c = 15.6256 Å
α = 90.00°, β = 90.00°, γ = 155.87°
Fractional positions:
Ac 0.0079 0.9921 0.5000
Ac 0.0289 0.9711 0.7572
Ac 0.1670 0.8330 0.2973
Ac 0.1837 0.8163 0.9334
Ac 0.8163 0.1837 0.4334
Ac 0.8330 0.1670 0.7973
Ac 0.9711 0.0289 0.2572
Ac 0.9921 0.0079 0.0000
Zn 0.1543 0.8457 0.6193
Zn 0.2975 0.7025 0.6107
Zn 0.3402 0.6598 0.2499
Zn 0.3549 0.6451 0.9840
Zn 0.4361 0.5639 0.6510
Zn 0.5639 0.4361 0.1510
Zn 0.6451 0.3549 0.4840
Zn 0.6598 0.3402 0.7499
Zn 0.7025 0.2975 0.1107
Zn 0.8457 0.1543 0.1193
Rh 0.1242 0.8758 0.1113
Rh 0.2167 0.7833 0.4799
Rh 0.2300 0.7700 0.7510
Rh 0.4240 0.5760 0.3830
Rh 0.4299 0.5701 0.1225
Rh 0.4389 0.5611 0.8554
Rh 0.5611 0.4389 0.3554
Rh 0.5701 0.4299 0.6225
Rh 0.5760 0.4240 0.8830
Rh 0.7700 0.2300 0.2510
Rh 0.7833 0.2167 0.9799
Rh 0.8758 0.1242 0.6113



Here is a geometry-optimized AcZn2Rh structure from the Alexandria database. Energies are from PBE.

Its total magnetization is 0.0 μB/cell. As for the energy above the most stable polymorph in this dataset: 96 meV per atom. The energy of formation is -0.410 eV/atom. As for the space group: No. 166. For the total energy, the calculation gives -3.91 eV/atom.

a = 4.3591 Å, b = 4.3591 Å, c = 16.1796 Å
α = 90.00°, β = 90.00°, γ = 120.00°
Fractional positions:
Ac 0.0000 0.0000 0.0000
Ac 0.3333 0.6667 0.6667
Ac 0.6667 0.3333 0.3333
Zn 0.0000 0.0000 0.2025
Zn 0.0000 0.0000 0.7975
Zn 0.3333 0.6667 0.4642
Zn 0.3333 0.6667 0.8692
Zn 0.6667 0.3333 0.1308
Zn 0.6667 0.3333 0.5358
Rh 0.0000 0.0000 0.5000
Rh 0.3333 0.6667 0.1667
Rh 0.6667 0.3333 0.8333



Here is a geometry-optimized Ac5Zn4Rh structure from the Alexandria database. Energies are from PBE.

Its total magnetization is 0.0 μB/cell. The energy of formation is -0.305 eV/atom. As for the space group: No. 123. For the total energy, the calculation gives -3.60 eV/atom.

a = 3.8658 Å, b = 3.8658 Å, c = 19.4508 Å
α = 90.00°, β = 90.00°, γ = 90.00°
Fractional positions:
Ac 0.0000 0.0000 0.0000
Ac 0.0000 0.0000 0.2025
Ac 0.0000 0.0000 0.4096
Ac 0.0000 0.0000 0.5904
Ac 0.0000 0.0000 0.7975
Zn 0.5000 0.5000 0.1015
Zn 0.5000 0.5000 0.3022
Zn 0.5000 0.5000 0.6978
Zn 0.5000 0.5000 0.8985
Rh 0.5000 0.5000 0.5000